A relaxed structure of Ac4Ir. Source: Alexandria via LeMat-Bulk, functional PBE.

a b c (Å): 8.4284 8.0849 10.0947
angles (deg): 53.88 50.79 75.34
Atoms (fractional coordinates):
Ac 0.2090 0.2910 0.9539
Ac 0.2118 0.7874 0.4541
Ac 0.2910 0.2090 0.5461
Ac 0.2961 0.7039 0.0410
Ac 0.7033 0.7959 0.4626
Ac 0.7039 0.2961 0.9590
Ac 0.7874 0.2118 0.5467
Ac 0.7959 0.7033 0.0382
Ir 0.5016 0.5016 0.4984
Ir 0.7516 0.7516 0.7484

Values from the calculation:
D(E_F) ... 14.27 states/eV/cell
Crystal system ... orthorhombic
Total magnetization ... 0.00 μB per formula unit
ΔH_f (0 K) ... -0.309 eV/atom